Entry 1:
# Si2SbSe PBE optimized geometry
data_Si2SbSe
_chemical_formula_sum 'Si2 Sb1 Se1'
_cell_length_a 4.4715
_cell_length_b 3.4589
_cell_length_c 6.9658
_cell_angle_alpha 90.00
_cell_angle_beta 108.46
_cell_angle_gamma 90.00
_space_group_name_H-M_alt 'P 1 m 1'
_space_group_IT_number 6
_space_group_name_Hall 'P -2y'
loop_
_atom_site_label
_atom_site_type_symbol
_atom_site_fract_x
_atom_site_fract_y
_atom_site_fract_z
Si1 Si 0.0000 0.0000 0.0000
Si2 Si 0.4131 0.5000 0.0781
Sb1 Sb 0.5749 0.5000 0.7453
Se1 Se 0.8030 0.0000 0.2808
# excess energy over the best structure of this formula in the dataset = 0 meV per atom
# magnetic moment = 0.0 μB per formula unit
# VASP energy = -18.2 eV/f.u.

***

Entry 2:
# SiSbSe2 PBE optimized geometry
data_SiSbSe2
_chemical_formula_sum 'Si1 Sb1 Se2'
_cell_length_a 3.4844
_cell_length_b 3.4844
_cell_length_c 6.9990
_cell_angle_alpha 90.00
_cell_angle_beta 90.00
_cell_angle_gamma 90.00
_space_group_name_H-M_alt 'P 4/m m m'
_space_group_IT_number 123
_space_group_name_Hall '-P 4 2'
loop_
_atom_site_label
_atom_site_type_symbol
_atom_site_fract_x
_atom_site_fract_y
_atom_site_fract_z
Si1 Si 0.0000 0.0000 0.0000
Sb1 Sb 0.0000 0.0000 0.5000
Se1 Se 0.5000 0.5000 0.2318
# excess energy over the best structure of this formula in the dataset = 346 meV per atom
# magnetic moment = 0.0 μB per formula unit
# VASP energy = -15.4 eV/f.u.